Here is crystalline Pr2ZrTe2N2 at its relaxed geometry from the Alexandria database. Energies are from PBE.

## Properties
- E_form (uncorrected) (eV/atom) = -1.42
- V (A^3/atom) = 22.57
- space group = I4/mmm, No. 139
- calculated total energy (eV per formula unit) = -51.003

Cell lengths 8.937, 8.937, 8.937 Å; angles 151.91, 151.91, 40.15 degrees
Element x y z (fractional)
Pr: 0.102 0.102 0.000
Pr: 0.898 0.898 0.000
Zr: 0.500 0.500 0.000
Te: 0.320 0.320 0.000
Te: 0.680 0.680 0.000
N: 0.000 0.500 0.500
N: 0.500 0.000 0.500

=====

Here is crystalline KRb at its relaxed geometry from the Alexandria database. Energies are from PBE.

## Properties
- V (A^3/atom) = 81.09
- calculated formation energy (eV per formula unit) = 0.0
- space group = P-1, No. 2
- calculated total energy (eV per formula unit) = -2.051
- ΔE to the lowest computed polymorph (eV/f.u.) = 0.01

Cell lengths 6.220, 7.217, 8.624 Å; angles 65.38, 69.34, 89.97 degrees
Element x y z (fractional)
K: 0.129 0.380 0.242
K: 0.871 0.620 0.758
Rb: 0.378 0.128 0.743
Rb: 0.622 0.872 0.257